Record 1
DFT (PBE) results for TbNdDyZn after structural relaxation.

Properties
The relative energy among the computed polymorphs is 207.0 meV/atom. For the total energy, the calculation gives -15.09 eV/cell. The energy relative to the elements is 0.045 eV per atom. The calculation puts the spin magnetization at 0.000 μB per atom.

Cell: 5.3967 5.3967 5.3967 Å, 60.00 60.00 60.00°
Element x y z (fractional)
Dy (0.5000, 0.5000, 0.5000)
Zn (0.0000, 0.0000, 0.0000)
Tb (0.7500, 0.7500, 0.7500)
Nd (0.2500, 0.2500, 0.2500)



Record 2
DFT (PBE) results for TbNdDyZn after structural relaxation.

Properties
The relative energy among the computed polymorphs is 0.0 meV/atom. For the total energy, the calculation gives -15.92 eV/cell. The energy relative to the elements is -0.162 eV per atom. The calculation puts the spin magnetization at 0.000 μB per atom.

Cell: 3.5990 3.5990 8.7102 Å, 90.00 90.00 90.00°
Element x y z (fractional)
Zn (0.0000, 0.0000, 0.5697)
Nd (0.0000, 0.0000, 0.0722)
Dy (0.5000, 0.5000, 0.3686)
Tb (0.5000, 0.5000, 0.7742)



Record 3
DFT (PBE) results for Tb2Nd3Dy6Zr after structural relaxation.

Properties
For the total energy, the calculation gives -59.18 eV/cell. The energy relative to the elements is 0.046 eV per atom. The calculation puts the spin magnetization at 0.000 μB per atom.

Cell: 6.1459 6.1459 11.7213 Å, 95.00 95.00 119.94°
Element x y z (fractional)
Dy (0.9194, 0.5930, 0.7582)
Dy (0.4070, 0.0806, 0.2418)
Dy (0.5930, 0.9194, 0.7582)
Dy (0.2455, 0.2455, 0.7584)
Dy (0.7545, 0.7545, 0.2416)
Dy (0.0806, 0.4070, 0.2418)
Tb (0.6667, 0.3333, 0.0000)
Tb (0.3333, 0.6667, 0.0000)
Nd (0.8340, 0.1660, 0.5000)
Nd (0.1660, 0.8340, 0.5000)
Nd (0.5000, 0.5000, 0.5000)
Zr (0.0000, 0.0000, 0.0000)



Record 4
DFT (PBE) results for Tb6Nd3Dy2Zr after structural relaxation.

Properties
For the total energy, the calculation gives -59.29 eV/cell. The energy relative to the elements is 0.045 eV per atom. The calculation puts the spin magnetization at 0.000 μB per atom.

Cell: 6.1527 6.1527 11.7580 Å, 94.98 94.98 119.93°
Element x y z (fractional)
Nd (0.1661, 0.8339, 0.5000)
Nd (0.5000, 0.5000, 0.5000)
Nd (0.8339, 0.1661, 0.5000)
Dy (0.3333, 0.6667, 0.0000)
Dy (0.6667, 0.3333, 0.0000)
Tb (0.7540, 0.7540, 0.2412)
Tb (0.9197, 0.5931, 0.7587)
Tb (0.4069, 0.0803, 0.2413)
Tb (0.0803, 0.4069, 0.2413)
Tb (0.5931, 0.9197, 0.7587)
Tb (0.2460, 0.2460, 0.7588)
Zr (0.0000, 0.0000, 0.0000)



Record 5
DFT (PBE) results for NdDy3Tc after structural relaxation.

Properties
The relative energy among the computed polymorphs is 178.9 meV/atom. For the total energy, the calculation gives -28.32 eV/cell. The energy relative to the elements is 0.124 eV per atom. The calculation puts the spin magnetization at 0.100 μB per atom.

Cell: 5.3956 5.3956 5.3956 Å, 90.00 90.00 90.00°
Site moments in Bohr magnetons follow the coordinates.
Element x y z (fractional)
Dy (0.0000, 0.5000, 0.0000)  0.06
Dy (0.5000, 0.0000, 0.0000)  0.06
Dy (0.0000, 0.0000, 0.5000)  0.06
Nd (0.5000, 0.5000, 0.5000)  0.12
Tc (0.0000, 0.0000, 0.0000)  -0.02



Record 6
DFT (PBE) results for NdDy2Tc after structural relaxation.

Properties
The relative energy among the computed polymorphs is 0.0 meV/atom. For the total energy, the calculation gives -98.29 eV/cell. The energy relative to the elements is -0.059 eV per atom. The calculation puts the spin magnetization at 0.000 μB per atom.

Cell: 6.3724 7.5008 9.2245 Å, 90.00 90.00 90.00°
Element x y z (fractional)
Tc (0.4552, 0.8852, 0.2500)
Tc (0.5448, 0.1148, 0.7500)
Tc (0.0448, 0.3852, 0.2500)
Tc (0.9552, 0.6148, 0.7500)
Dy (0.3409, 0.1754, 0.0646)
Dy (0.6591, 0.8246, 0.9354)
Dy (0.1591, 0.6754, 0.0646)
Dy (0.6591, 0.8246, 0.5646)
Dy (0.8409, 0.3246, 0.5646)
Dy (0.3409, 0.1754, 0.4354)
Dy (0.8409, 0.3246, 0.9354)
Dy (0.1591, 0.6754, 0.4354)
Nd (0.6264, 0.5432, 0.2500)
Nd (0.8736, 0.0432, 0.2500)
Nd (0.1264, 0.9568, 0.7500)
Nd (0.3736, 0.4568, 0.7500)



Q: Among the records above, which one has the lowest energy relative to the elements?
A: number 2



Q: Number 4 is which compound?
A: Tb6Nd3Dy2Zr



Q: Number 2 is which compound?
A: TbNdDyZn



What did the second record say?
DFT (PBE) results for TbNdDyZn after structural relaxation.

Properties
The relative energy among the computed polymorphs is 0.0 meV/atom. For the total energy, the calculation gives -15.92 eV/cell. The energy relative to the elements is -0.162 eV per atom. The calculation puts the spin magnetization at 0.000 μB per atom.

Cell: 3.5990 3.5990 8.7102 Å, 90.00 90.00 90.00°
Element x y z (fractional)
Zn (0.0000, 0.0000, 0.5697)
Nd (0.0000, 0.0000, 0.0722)
Dy (0.5000, 0.5000, 0.3686)
Tb (0.5000, 0.5000, 0.7742)